1.
Compound: SrTcSb2I
Source: the Alexandria database
Functional: PBE-GGA
Structure: relaxed

a = 5.139 Å, b = 5.139 Å, c = 5.982 Å
α = 90.00°, β = 90.00°, γ = 90.00°
Sites, in units of the cell vectors:
Sr: 0.000 0.000 0.000
Tc: 0.500 0.500 0.500
Sb: 0.000 0.500 0.500
Sb: 0.500 0.000 0.500
I: 0.500 0.500 0.000

Energy relative to the elements, uncorrected: -114 meV per atom
DOS at the Fermi energy: 3.66 states/eV/cell


2.
Compound: SrSb2TeI
Source: the Alexandria database
Functional: PBE-GGA
Structure: relaxed

a = 5.771 Å, b = 5.771 Å, c = 6.093 Å
α = 90.00°, β = 90.00°, γ = 90.00°
Sites, in units of the cell vectors:
Sr: 0.000 0.000 0.000
Sb: 0.000 0.500 0.500
Sb: 0.500 0.000 0.500
Te: 0.500 0.500 0.500
I: 0.500 0.500 0.000

Energy relative to the elements, uncorrected: 17 meV per atom
DOS at the Fermi energy: 3.95 states/eV/cell


3.
Compound: SrSb2TeI
Source: the Alexandria database
Functional: PBE-GGA
Structure: relaxed

a = 6.325 Å, b = 6.325 Å, c = 5.913 Å
α = 90.00°, β = 90.00°, γ = 90.00°
Sites, in units of the cell vectors:
Sr: 0.000 0.000 0.000
Sb: 0.000 0.500 0.000
Sb: 0.500 0.000 0.000
Te: 0.500 0.500 0.500
I: 0.000 0.000 0.500

Energy relative to the elements, uncorrected: 487 meV per atom
DOS at the Fermi energy: 5.71 states/eV/cell


4.
Compound: SrSb2TeI
Source: the Alexandria database
Functional: PBE-GGA
Structure: relaxed

a = 5.820 Å, b = 5.820 Å, c = 5.883 Å
α = 90.00°, β = 90.00°, γ = 90.00°
Sites, in units of the cell vectors:
Sr: 0.000 0.000 0.000
Sb: 0.000 0.500 0.500
Sb: 0.500 0.000 0.500
Te: 0.500 0.500 0.000
I: 0.500 0.500 0.500

Energy relative to the elements, uncorrected: 263 meV per atom
DOS at the Fermi energy: 5.02 states/eV/cell